! PmScFeCu GGA-PBE optimized geometry; values from VASP
&SYSTEM
  ibrav = 0, nat = 16, ntyp = 4
/
ATOMIC_SPECIES
Pm 145.00 Pm.upf
Sc 44.96 Sc.upf
Fe 55.84 Fe.upf
Cu 63.55 Cu.upf
CELL_PARAMETERS angstrom
6.7208 0.0000 0.0000
0.0000 6.7208 0.0000
0.0000 0.0000 6.7208
ATOMIC_POSITIONS crystal
Pm 0.0000 0.0000 0.0000
Pm 0.0000 0.5000 0.5000
Pm 0.5000 0.0000 0.5000
Pm 0.5000 0.5000 0.0000
Sc 0.0000 0.0000 0.5000
Sc 0.0000 0.5000 0.0000
Sc 0.5000 0.0000 0.0000
Sc 0.5000 0.5000 0.5000
Fe 0.2500 0.2500 0.7500
Fe 0.2500 0.7500 0.2500
Fe 0.7500 0.2500 0.2500
Fe 0.7500 0.7500 0.7500
Cu 0.2500 0.2500 0.2500
Cu 0.2500 0.7500 0.7500
Cu 0.7500 0.2500 0.7500
Cu 0.7500 0.7500 0.2500
! - total magnetic moment (μB per formula unit) = 0.83
! - volume (Å³/atom) = 18.97
! - raw total energy (eV per atom) = -5.896
! - energy of formation (eV per atom) = 0.01

! TbPmFeCu GGA-PBE optimized geometry; values from VASP
&SYSTEM
  ibrav = 0, nat = 16, ntyp = 4
/
ATOMIC_SPECIES
Tb 158.93 Tb.upf
Pm 145.00 Pm.upf
Fe 55.84 Fe.upf
Cu 63.55 Cu.upf
CELL_PARAMETERS angstrom
6.9432 0.0000 0.0000
0.0000 6.9432 0.0000
0.0000 0.0000 6.9432
ATOMIC_POSITIONS crystal
Tb 0.0000 0.0000 0.0000
Tb 0.0000 0.5000 0.5000
Tb 0.5000 0.0000 0.5000
Tb 0.5000 0.5000 0.0000
Pm 0.0000 0.0000 0.5000
Pm 0.0000 0.5000 0.0000
Pm 0.5000 0.0000 0.0000
Pm 0.5000 0.5000 0.5000
Fe 0.2500 0.2500 0.7500
Fe 0.2500 0.7500 0.2500
Fe 0.7500 0.2500 0.2500
Fe 0.7500 0.7500 0.7500
Cu 0.2500 0.2500 0.2500
Cu 0.2500 0.7500 0.7500
Cu 0.7500 0.2500 0.7500
Cu 0.7500 0.7500 0.2500
! - total magnetic moment (μB per formula unit) = 1.13
! - volume (Å³/atom) = 20.92
! - raw total energy (eV per atom) = -5.445
! - energy of formation (eV per atom) = 0.04

! PmThFeCu GGA-PBE optimized geometry; values from VASP
&SYSTEM
  ibrav = 0, nat = 16, ntyp = 4
/
ATOMIC_SPECIES
Pm 145.00 Pm.upf
Th 232.04 Th.upf
Fe 55.84 Fe.upf
Cu 63.55 Cu.upf
CELL_PARAMETERS angstrom
7.0372 0.0000 0.0000
0.0000 7.0372 0.0000
0.0000 0.0000 7.0372
ATOMIC_POSITIONS crystal
Pm 0.0000 0.0000 0.0000
Pm 0.0000 0.5000 0.5000
Pm 0.5000 0.0000 0.5000
Pm 0.5000 0.5000 0.0000
Th 0.0000 0.0000 0.5000
Th 0.0000 0.5000 0.0000
Th 0.5000 0.0000 0.0000
Th 0.5000 0.5000 0.5000
Fe 0.2500 0.2500 0.2500
Fe 0.2500 0.7500 0.7500
Fe 0.7500 0.2500 0.7500
Fe 0.7500 0.7500 0.2500
Cu 0.2500 0.2500 0.7500
Cu 0.2500 0.7500 0.2500
Cu 0.7500 0.2500 0.2500
Cu 0.7500 0.7500 0.7500
! - total magnetic moment (μB per formula unit) = 1.07
! - volume (Å³/atom) = 21.78
! - raw total energy (eV per atom) = -6.129
! - energy of formation (eV per atom) = 0.05

! PmTmFeCu GGA-PBE optimized geometry; values from VASP
&SYSTEM
  ibrav = 0, nat = 16, ntyp = 4
/
ATOMIC_SPECIES
Pm 145.00 Pm.upf
Tm 168.93 Tm.upf
Fe 55.84 Fe.upf
Cu 63.55 Cu.upf
CELL_PARAMETERS angstrom
6.8785 0.0000 0.0000
0.0000 6.8785 0.0000
0.0000 0.0000 6.8785
ATOMIC_POSITIONS crystal
Pm 0.0000 0.0000 0.0000
Pm 0.0000 0.5000 0.5000
Pm 0.5000 0.0000 0.5000
Pm 0.5000 0.5000 0.0000
Tm 0.0000 0.0000 0.5000
Tm 0.0000 0.5000 0.0000
Tm 0.5000 0.0000 0.0000
Tm 0.5000 0.5000 0.5000
Fe 0.2500 0.2500 0.7500
Fe 0.2500 0.7500 0.2500
Fe 0.7500 0.2500 0.2500
Fe 0.7500 0.7500 0.7500
Cu 0.2500 0.2500 0.2500
Cu 0.2500 0.7500 0.7500
Cu 0.7500 0.2500 0.7500
Cu 0.7500 0.7500 0.2500
! - total magnetic moment (μB per formula unit) = 1.15
! - volume (Å³/atom) = 20.34
! - raw total energy (eV per atom) = -5.429
! - energy of formation (eV per atom) = 0.02

! PmYFeCu GGA-PBE optimized geometry; values from VASP
&SYSTEM
  ibrav = 0, nat = 16, ntyp = 4
/
ATOMIC_SPECIES
Pm 145.00 Pm.upf
Y 88.91 Y.upf
Fe 55.84 Fe.upf
Cu 63.55 Cu.upf
CELL_PARAMETERS angstrom
6.9501 0.0000 0.0000
0.0000 6.9501 0.0000
0.0000 0.0000 6.9501
ATOMIC_POSITIONS crystal
Pm 0.0000 0.0000 0.0000
Pm 0.0000 0.5000 0.5000
Pm 0.5000 0.0000 0.5000
Pm 0.5000 0.5000 0.0000
Y 0.0000 0.0000 0.5000
Y 0.0000 0.5000 0.0000
Y 0.5000 0.0000 0.0000
Y 0.5000 0.5000 0.5000
Fe 0.2500 0.2500 0.2500
Fe 0.2500 0.7500 0.7500
Fe 0.7500 0.2500 0.7500
Fe 0.7500 0.7500 0.2500
Cu 0.2500 0.2500 0.7500
Cu 0.2500 0.7500 0.2500
Cu 0.7500 0.2500 0.2500
Cu 0.7500 0.7500 0.7500
! - total magnetic moment (μB per formula unit) = 1.18
! - volume (Å³/atom) = 20.98
! - raw total energy (eV per atom) = -5.901
! - energy of formation (eV per atom) = 0.04

! PmZrFeCu GGA-PBE optimized geometry; values from VASP
&SYSTEM
  ibrav = 0, nat = 16, ntyp = 4
/
ATOMIC_SPECIES
Pm 145.00 Pm.upf
Zr 91.22 Zr.upf
Fe 55.84 Fe.upf
Cu 63.55 Cu.upf
CELL_PARAMETERS angstrom
6.7384 0.0000 0.0000
0.0000 6.7384 0.0000
0.0000 0.0000 6.7384
ATOMIC_POSITIONS crystal
Pm 0.0000 0.0000 0.0000
Pm 0.0000 0.5000 0.5000
Pm 0.5000 0.0000 0.5000
Pm 0.5000 0.5000 0.0000
Zr 0.0000 0.0000 0.5000
Zr 0.0000 0.5000 0.0000
Zr 0.5000 0.0000 0.0000
Zr 0.5000 0.5000 0.5000
Fe 0.2500 0.2500 0.7500
Fe 0.2500 0.7500 0.2500
Fe 0.7500 0.2500 0.2500
Fe 0.7500 0.7500 0.7500
Cu 0.2500 0.2500 0.2500
Cu 0.2500 0.7500 0.7500
Cu 0.7500 0.2500 0.7500
Cu 0.7500 0.7500 0.2500
! - total magnetic moment (μB per formula unit) = 0.75
! - volume (Å³/atom) = 19.12
! - raw total energy (eV per atom) = -6.410
! - energy of formation (eV per atom) = 0.05

! TbPrFeCu GGA-PBE optimized geometry; values from VASP
&SYSTEM
  ibrav = 0, nat = 16, ntyp = 4
/
ATOMIC_SPECIES
Tb 158.93 Tb.upf
Pr 140.91 Pr.upf
Fe 55.84 Fe.upf
Cu 63.55 Cu.upf
CELL_PARAMETERS angstrom
7.0051 0.0000 0.0000
0.0000 7.0051 0.0000
0.0000 0.0000 7.0051
ATOMIC_POSITIONS crystal
Tb 0.0000 0.0000 0.0000
Tb 0.0000 0.5000 0.5000
Tb 0.5000 0.0000 0.5000
Tb 0.5000 0.5000 0.0000
Pr 0.0000 0.0000 0.5000
Pr 0.0000 0.5000 0.0000
Pr 0.5000 0.0000 0.0000
Pr 0.5000 0.5000 0.5000
Fe 0.2500 0.2500 0.7500
Fe 0.2500 0.7500 0.2500
Fe 0.7500 0.2500 0.2500
Fe 0.7500 0.7500 0.7500
Cu 0.2500 0.2500 0.2500
Cu 0.2500 0.7500 0.7500
Cu 0.7500 0.2500 0.7500
Cu 0.7500 0.7500 0.2500
! - total magnetic moment (μB per formula unit) = 1.20
! - volume (Å³/atom) = 21.48
! - raw total energy (eV per atom) = -5.422
! - energy of formation (eV per atom) = 0.07

! FeCu3Pt GGA-PBE optimized geometry; values from VASP
&SYSTEM
  ibrav = 0, nat = 5, ntyp = 3
/
ATOMIC_SPECIES
Fe 55.84 Fe.upf
Cu 63.55 Cu.upf
Pt 195.08 Pt.upf
CELL_PARAMETERS angstrom
4.6544 0.0000 0.0000
0.0000 4.6544 0.0000
0.0000 0.0000 4.6544
ATOMIC_POSITIONS crystal
Fe 0.0000 0.0000 0.0000
Cu 0.0000 0.5000 0.5000
Cu 0.5000 0.0000 0.5000
Cu 0.5000 0.5000 0.0000
Pt 0.5000 0.5000 0.5000
! - total magnetic moment (μB per formula unit) = 3.39
! - volume (Å³/atom) = 20.17
! - raw total energy (eV per atom) = -4.173
! - relative energy among the computed polymorphs (meV/atom) = 84
! - energy of formation (eV per atom) = 1.18

! Fe2CuPt GGA-PBE optimized geometry; values from VASP
&SYSTEM
  ibrav = 0, nat = 16, ntyp = 3
/
ATOMIC_SPECIES
Fe 55.84 Fe.upf
Cu 63.55 Cu.upf
Pt 195.08 Pt.upf
CELL_PARAMETERS angstrom
5.9312 0.0000 0.0000
0.0000 5.9312 0.0000
0.0000 0.0000 5.9312
ATOMIC_POSITIONS crystal
Fe 0.0000 0.0000 0.0000
Fe 0.0000 0.5000 0.5000
Fe 0.2500 0.2500 0.2500
Fe 0.2500 0.7500 0.7500
Fe 0.5000 0.0000 0.5000
Fe 0.5000 0.5000 0.0000
Fe 0.7500 0.2500 0.7500
Fe 0.7500 0.7500 0.2500
Cu 0.2500 0.2500 0.7500
Cu 0.2500 0.7500 0.2500
Cu 0.7500 0.2500 0.2500
Cu 0.7500 0.7500 0.7500
Pt 0.0000 0.0000 0.5000
Pt 0.0000 0.5000 0.0000
Pt 0.5000 0.0000 0.0000
Pt 0.5000 0.5000 0.5000
! - total magnetic moment (μB per formula unit) = 5.98
! - volume (Å³/atom) = 13.04
! - raw total energy (eV per atom) = -6.808
! - energy of formation (eV per atom) = -0.04

! Fe2CuPt GGA-PBE optimized geometry; values from VASP
&SYSTEM
  ibrav = 0, nat = 4, ntyp = 3
/
ATOMIC_SPECIES
Fe 55.84 Fe.upf
Cu 63.55 Cu.upf
Pt 195.08 Pt.upf
CELL_PARAMETERS angstrom
2.6641 0.0000 0.0000
0.0000 2.6641 0.0000
0.0000 0.0000 7.3599
ATOMIC_POSITIONS crystal
Fe 0.0000 0.0000 0.2389
Fe 0.0000 0.0000 0.7611
Cu 0.5000 0.5000 0.0000
Pt 0.5000 0.5000 0.5000
! - total magnetic moment (μB per formula unit) = 5.77
! - volume (Å³/atom) = 13.06
! - raw total energy (eV per atom) = -6.792
! - energy of formation (eV per atom) = -0.03

! Fe3Cu2Pt3 GGA-PBE optimized geometry; values from VASP
&SYSTEM
  ibrav = 0, nat = 16, ntyp = 3
/
ATOMIC_SPECIES
Fe 55.84 Fe.upf
Cu 63.55 Cu.upf
Pt 195.08 Pt.upf
CELL_PARAMETERS angstrom
3.7656 0.0000 0.0000
0.0000 3.8384 0.0000
0.0000 0.0000 15.0432
ATOMIC_POSITIONS crystal
Fe 0.0000 0.0000 0.0000
Fe 0.0000 0.5000 0.1270
Fe 0.0000 0.5000 0.8730
Fe 0.5000 0.0000 0.3730
Fe 0.5000 0.0000 0.6270
Fe 0.5000 0.5000 0.5000
Cu 0.0000 0.0000 0.2505
Cu 0.0000 0.0000 0.7495
Cu 0.5000 0.5000 0.2495
Cu 0.5000 0.5000 0.7505
Pt 0.0000 0.0000 0.5000
Pt 0.0000 0.5000 0.3715
Pt 0.0000 0.5000 0.6285
Pt 0.5000 0.0000 0.1285
Pt 0.5000 0.0000 0.8715
Pt 0.5000 0.5000 0.0000
! - total magnetic moment (μB per formula unit) = 9.89
! - volume (Å³/atom) = 13.59
! - raw total energy (eV per atom) = -6.610
! - energy of formation (eV per atom) = -0.15

! FeCu4Pt GGA-PBE optimized geometry; values from VASP
&SYSTEM
  ibrav = 0, nat = 6, ntyp = 3
/
ATOMIC_SPECIES
Fe 55.84 Fe.upf
Cu 63.55 Cu.upf
Pt 195.08 Pt.upf
CELL_PARAMETERS angstrom
0.0000 3.3732 3.3732
3.3732 0.0000 3.3732
3.3732 3.3732 0.0000
ATOMIC_POSITIONS crystal
Fe 0.0000 0.0000 0.0000
Cu 0.3749 0.3749 0.3749
Cu 0.3749 0.3749 0.8754
Cu 0.3749 0.8754 0.3749
Cu 0.8754 0.3749 0.3749
Pt 0.7500 0.7500 0.7500
! - total magnetic moment (μB per formula unit) = 3.31
! - volume (Å³/atom) = 12.79
! - raw total energy (eV per atom) = -5.085
! - energy of formation (eV per atom) = 0.06